Entry 1:
The following is a GGA-PBE calculation of PmY7Th3 after structural relaxation, from Alexandria.

abc: 6.474 6.728 8.730
angles: 101.19 97.16 96.66
Atoms (fractional coordinates):
1 Pm 0.000 0.000 0.000
2 Y 0.000 0.500 0.000
3 Y 0.068 0.215 0.643
4 Y 0.209 0.732 0.706
5 Y 0.493 0.233 0.922
6 Y 0.507 0.767 0.078
7 Y 0.791 0.268 0.294
8 Y 0.932 0.785 0.357
9 Th 0.324 0.446 0.339
10 Th 0.500 0.000 0.500
11 Th 0.676 0.554 0.661

Properties
**E_tot**: -6.41 eV/atom
**Relative energy among the computed polymorphs**: 0.0 meV per atom
**Space-group type**: P-1
**Total magnetic moment**: 0.00 μB per cell


Entry 2:
The following is a GGA-PBE calculation of InIrCl3 after structural relaxation, from Alexandria.

abc: 4.904 4.904 4.904
angles: 90.00 90.00 90.00
Atoms (fractional coordinates):
1 In 0.000 0.000 0.000
2 Ir 0.500 0.500 0.500
3 Cl 0.000 0.500 0.500
4 Cl 0.500 0.000 0.500
5 Cl 0.500 0.500 0.000

Properties
**E_tot**: -3.66 eV/atom
**Relative energy among the computed polymorphs**: 0.0 meV per atom
**Formation energy without anion corrections**: -112 kJ/mol of formula units
**Space-group type**: Pm-3m
**Total magnetic moment**: 0.00 μB per cell


Copy entry 1 word for word.
The following is a GGA-PBE calculation of PmY7Th3 after structural relaxation, from Alexandria.

abc: 6.474 6.728 8.730
angles: 101.19 97.16 96.66
Atoms (fractional coordinates):
1 Pm 0.000 0.000 0.000
2 Y 0.000 0.500 0.000
3 Y 0.068 0.215 0.643
4 Y 0.209 0.732 0.706
5 Y 0.493 0.233 0.922
6 Y 0.507 0.767 0.078
7 Y 0.791 0.268 0.294
8 Y 0.932 0.785 0.357
9 Th 0.324 0.446 0.339
10 Th 0.500 0.000 0.500
11 Th 0.676 0.554 0.661

Properties
**E_tot**: -6.41 eV/atom
**Relative energy among the computed polymorphs**: 0.0 meV per atom
**Space-group type**: P-1
**Total magnetic moment**: 0.00 μB per cell


Q: relative energy among the computed polymorphs of number 2 (InIrCl3)?
A: 0.0 meV per atom